Entry 1:
! GGA-PBEsol Y2TiGe2, relaxed; values from VASP
&SYSTEM
  ibrav = 0, nat = 10, ntyp = 3
/
ATOMIC_SPECIES
Y 88.91 Y.upf
Ge 72.64 Ge.upf
Ti 47.87 Ti.upf
CELL_PARAMETERS angstrom
4.196 0.000 0.000
0.000 7.076 0.000
0.000 0.000 7.076
ATOMIC_POSITIONS crystal
Y 0.500 0.176 0.676
Y 0.500 0.676 0.824
Y 0.500 0.324 0.176
Y 0.500 0.824 0.324
Ge 0.000 0.130 0.370
Ge 0.000 0.630 0.130
Ge 0.000 0.870 0.630
Ge 0.000 0.370 0.870
Ti 0.000 0.500 0.500
Ti 0.000 0.000 0.000
! crystal system	tetragonal
! energy of formation	-0.772	eV/atom
! final energy	-7.141	eV/atom

***

Entry 2:
! GGA-PBEsol YTi2Ge2, relaxed; values from VASP
&SYSTEM
  ibrav = 0, nat = 5, ntyp = 3
/
ATOMIC_SPECIES
Ti 47.87 Ti.upf
Y 88.91 Y.upf
Ge 72.64 Ge.upf
CELL_PARAMETERS angstrom
3.988 0.000 0.000
0.000 3.988 0.000
-1.994 -1.994 5.837
ATOMIC_POSITIONS crystal
Ti 0.250 0.750 0.500
Ti 0.750 0.250 0.500
Y 0.000 0.000 0.000
Ge 0.393 0.393 0.786
Ge 0.607 0.607 0.214
! crystal system	tetragonal
! energy of formation	-0.730	eV/atom
! final energy	-7.398	eV/atom

***

Entry 3:
! GGA-PBEsol TiZn2Ge2, relaxed; values from VASP
&SYSTEM
  ibrav = 0, nat = 5, ntyp = 3
/
ATOMIC_SPECIES
Ge 72.64 Ge.upf
Zn 65.41 Zn.upf
Ti 47.87 Ti.upf
CELL_PARAMETERS angstrom
3.527 0.000 0.000
0.000 3.527 0.000
-1.764 -1.764 6.522
ATOMIC_POSITIONS crystal
Ge 0.598 0.598 0.195
Ge 0.402 0.402 0.805
Zn 0.750 0.250 0.500
Zn 0.250 0.750 0.500
Ti 0.000 0.000 0.000
! crystal system	tetragonal
! energy of formation	0.038	eV/atom
! final energy	-4.235	eV/atom

***

Entry 4:
! GGA-PBEsol TiZnGe3, relaxed; values from VASP
&SYSTEM
  ibrav = 0, nat = 5, ntyp = 3
/
ATOMIC_SPECIES
Ge 72.64 Ge.upf
Ti 47.87 Ti.upf
Zn 65.41 Zn.upf
CELL_PARAMETERS angstrom
-2.076 -0.932 4.283
4.313 0.411 2.180
-0.782 4.742 0.653
ATOMIC_POSITIONS crystal
Ge 0.000 0.000 0.500
Ge 0.000 0.500 0.000
Ge 0.500 0.000 0.000
Ti 0.000 0.000 0.000
Zn 0.500 0.500 0.500
! excess energy over the best structure of this formula in the dataset	0.0	meV per atom
! crystal system	cubic
! energy of formation	0.436	eV/atom
! final energy	-4.508	eV/atom

***

Entry 5:
! GGA-PBEsol TiZnGe3, relaxed; values from VASP
&SYSTEM
  ibrav = 0, nat = 5, ntyp = 3
/
ATOMIC_SPECIES
Ge 72.64 Ge.upf
Zn 65.41 Zn.upf
Ti 47.87 Ti.upf
CELL_PARAMETERS angstrom
-4.079 -0.501 2.255
2.207 -2.195 3.504
0.682 4.111 2.146
ATOMIC_POSITIONS crystal
Ge 0.500 0.000 0.000
Ge 0.000 0.000 0.500
Ge 0.000 0.500 0.000
Zn 0.000 0.000 0.000
Ti 0.500 0.500 0.500
! excess energy over the best structure of this formula in the dataset	333.7	meV per atom
! crystal system	cubic
! energy of formation	0.770	eV/atom
! final energy	-4.174	eV/atom

***

Entry 6:
! GGA-PBEsol Zr3TiGe, relaxed; values from VASP
&SYSTEM
  ibrav = 0, nat = 5, ntyp = 3
/
ATOMIC_SPECIES
Ti 47.87 Ti.upf
Zr 91.22 Zr.upf
Ge 72.64 Ge.upf
CELL_PARAMETERS angstrom
-0.484 -1.602 4.673
-4.421 -1.954 -1.128
2.203 -4.272 -1.237
ATOMIC_POSITIONS crystal
Ti 0.500 0.500 0.500
Zr 0.000 0.000 0.500
Zr 0.000 0.500 0.000
Zr 0.500 0.000 0.000
Ge 0.000 0.000 0.000
! crystal system	cubic
! energy of formation	0.444	eV/atom
! final energy	-7.662	eV/atom

***

Entry 7:
! GGA-PBEsol Zr2TiGe2, relaxed; values from VASP
&SYSTEM
  ibrav = 0, nat = 10, ntyp = 3
/
ATOMIC_SPECIES
Zr 91.22 Zr.upf
Ge 72.64 Ge.upf
Ti 47.87 Ti.upf
CELL_PARAMETERS angstrom
-3.303 0.521 1.702
-3.277 -1.465 -5.910
-0.156 -6.689 1.744
ATOMIC_POSITIONS crystal
Zr 0.500 0.171 0.671
Zr 0.500 0.829 0.329
Zr 0.500 0.329 0.171
Zr 0.500 0.671 0.829
Ge 0.000 0.132 0.368
Ge 0.000 0.368 0.868
Ge 0.000 0.868 0.632
Ge 0.000 0.632 0.132
Ti 0.000 0.000 0.000
Ti 0.000 0.500 0.500
! crystal system	tetragonal
! energy of formation	-0.840	eV/atom
! final energy	-8.116	eV/atom

***

Entry 8:
! GGA-PBEsol ZrTiGe2, relaxed; values from VASP
&SYSTEM
  ibrav = 0, nat = 4, ntyp = 3
/
ATOMIC_SPECIES
Zr 91.22 Zr.upf
Ge 72.64 Ge.upf
Ti 47.87 Ti.upf
CELL_PARAMETERS angstrom
4.593 0.000 0.000
2.297 3.978 0.000
2.297 1.326 3.751
ATOMIC_POSITIONS crystal
Zr 0.500 0.500 0.500
Ge 0.250 0.250 0.250
Ge 0.750 0.750 0.750
Ti 0.000 0.000 0.000
! crystal system	cubic
! energy of formation	-0.374	eV/atom
! final energy	-7.197	eV/atom